Computed, not measured: Cs2SrBiBr6 after structural relaxation at the GGA-PBE level of DFT.

Unit cell a=8.334 b=8.334 c=8.794 alpha=61.71 beta=61.71 gamma=90.00
Fractional coordinates of all 10 atoms:
Cs: 0.750 0.250 0.500
Cs: 0.250 0.750 0.500
Sr: 0.500 0.500 0.000
Bi: 0.000 0.000 0.000
Br: 0.271 0.271 0.458
Br: 0.729 0.729 0.542
Br: 0.243 0.243 0.000
Br: 0.757 0.757 0.000
Br: 0.757 0.243 0.000
Br: 0.243 0.757 0.000

## Properties
raw formation energy = -1.45 eV per atom

***

Computed, not measured: Cs2TaBiBr6 after structural relaxation at the GGA-PBE level of DFT.

Unit cell a=7.942 b=7.942 c=8.564 alpha=62.38 beta=62.38 gamma=90.00
Fractional coordinates of all 10 atoms:
Cs: 0.750 0.250 0.500
Cs: 0.250 0.750 0.500
Bi: 0.000 0.000 0.000
Br: 0.297 0.297 0.405
Br: 0.703 0.703 0.595
Br: 0.266 0.266 0.000
Br: 0.734 0.734 0.000
Br: 0.734 0.266 0.000
Br: 0.266 0.734 0.000
Ta: 0.500 0.500 0.000

## Properties
raw formation energy = -0.89 eV per atom

***

Computed, not measured: Cs2TiBiBr6 after structural relaxation at the GGA-PBE level of DFT.

Unit cell a=7.835 b=7.835 c=8.475 alpha=62.47 beta=62.47 gamma=90.00
Fractional coordinates of all 10 atoms:
Cs: 0.750 0.250 0.500
Cs: 0.250 0.750 0.500
Bi: 0.000 0.000 0.000
Br: 0.298 0.298 0.404
Br: 0.702 0.702 0.596
Br: 0.261 0.261 0.000
Br: 0.739 0.739 0.000
Br: 0.739 0.261 0.000
Br: 0.261 0.739 0.000
Ti: 0.500 0.500 0.000

## Properties
raw formation energy = -1.14 eV per atom

***

Computed, not measured: CsTiBiBr2 after structural relaxation at the GGA-PBE level of DFT.

Unit cell a=6.389 b=6.527 c=6.389 alpha=90.00 beta=90.00 gamma=90.00
Fractional coordinates of all 5 atoms:
Cs: 0.000 0.000 0.000
Bi: 0.000 0.500 0.000
Br: 0.000 0.000 0.500
Br: 0.500 0.000 0.000
Ti: 0.500 0.500 0.500

## Properties
raw formation energy = 0.75 eV per atom

***

Computed, not measured: CsTlBiBr6 after structural relaxation at the GGA-PBE level of DFT.

Unit cell a=7.742 b=7.721 c=7.947 alpha=89.94 beta=89.94 gamma=59.97
Fractional coordinates of all 9 atoms:
Cs: 0.000 0.000 0.000
Tl: 0.333 0.334 0.500
Bi: 0.667 0.666 0.500
Br: 0.987 0.388 0.282
Br: 0.388 0.986 0.718
Br: 0.624 0.388 0.718
Br: 0.985 0.625 0.719
Br: 0.389 0.626 0.281
Br: 0.626 0.986 0.283

## Properties
raw formation energy = -0.91 eV per atom

***

Computed, not measured: Cs2TlBiBr6 after structural relaxation at the GGA-PBE level of DFT.

Unit cell a=8.547 b=8.547 c=8.547 alpha=60.00 beta=60.00 gamma=60.00
Fractional coordinates of all 10 atoms:
Cs: 0.750 0.750 0.750
Cs: 0.250 0.250 0.250
Tl: 0.500 0.500 0.500
Bi: 0.000 0.000 0.000
Br: 0.762 0.238 0.238
Br: 0.238 0.238 0.762
Br: 0.238 0.762 0.762
Br: 0.238 0.762 0.238
Br: 0.762 0.238 0.762
Br: 0.762 0.762 0.238

## Properties
raw formation energy = -1.22 eV per atom
polymorph energy (0 for the lowest one) = 0.19 eV per formula unit

***

Computed, not measured: Cs2TlBiBr6 after structural relaxation at the GGA-PBE level of DFT.

Unit cell a=8.301 b=8.683 c=11.981 alpha=90.00 beta=89.94 gamma=90.00
Fractional coordinates of all 20 atoms:
Cs: 0.020 0.934 0.249
Cs: 0.520 0.566 0.749
Cs: 0.980 0.066 0.751
Cs: 0.480 0.434 0.251
Tl: 0.500 0.000 0.000
Tl: 0.000 0.500 0.500
Bi: 0.500 0.000 0.500
Bi: 0.000 0.500 0.000
Br: 0.283 0.686 0.041
Br: 0.783 0.814 0.541
Br: 0.717 0.314 0.959
Br: 0.217 0.186 0.459
Br: 0.317 0.721 0.458
Br: 0.817 0.779 0.958
Br: 0.683 0.279 0.542
Br: 0.183 0.221 0.042
Br: 0.918 0.518 0.234
Br: 0.418 0.982 0.734
Br: 0.082 0.482 0.766
Br: 0.582 0.018 0.266

## Properties
raw formation energy = -1.24 eV per atom
polymorph energy (0 for the lowest one) = 0.00 eV per formula unit

***

Computed, not measured: CsTmBiBr6 after structural relaxation at the GGA-PBE level of DFT.

Unit cell a=7.573 b=7.562 c=7.873 alpha=87.55 beta=92.41 gamma=66.63
Fractional coordinates of all 9 atoms:
Cs: 0.017 0.017 0.000
Tm: 0.676 0.676 0.500
Bi: 0.329 0.329 0.500
Br: 0.960 0.392 0.320
Br: 0.392 0.960 0.680
Br: 0.637 0.373 0.702
Br: 0.951 0.665 0.733
Br: 0.374 0.637 0.298
Br: 0.666 0.951 0.268

## Properties
raw formation energy = -1.37 eV per atom

***

Computed, not measured: CsVBiBr6 after structural relaxation at the GGA-PBE level of DFT.

Unit cell a=7.263 b=7.263 c=8.100 alpha=89.99 beta=90.00 gamma=60.00
Fractional coordinates of all 9 atoms:
Cs: 0.000 0.000 0.000
V: 0.667 0.667 0.500
Bi: 0.333 0.333 0.500
Br: 0.974 0.386 0.306
Br: 0.386 0.974 0.694
Br: 0.640 0.386 0.694
Br: 0.974 0.640 0.694
Br: 0.386 0.640 0.306
Br: 0.640 0.974 0.306

## Properties
raw formation energy = -1.01 eV per atom

***

Computed, not measured: Cs2VBiBr6 after structural relaxation at the GGA-PBE level of DFT.

Unit cell a=7.995 b=7.995 c=8.002 alpha=60.03 beta=60.03 gamma=90.00
Fractional coordinates of all 10 atoms:
Cs: 0.750 0.250 0.500
Cs: 0.250 0.750 0.500
Bi: 0.000 0.000 0.000
Br: 0.264 0.264 0.472
Br: 0.736 0.736 0.528
Br: 0.263 0.263 0.000
Br: 0.737 0.737 0.000
Br: 0.737 0.263 0.000
Br: 0.263 0.737 0.000
V: 0.500 0.500 0.000

## Properties
raw formation energy = -1.06 eV per atom

***

Computed, not measured: Cs2ZrBiBr6 after structural relaxation at the GGA-PBE level of DFT.

Unit cell a=8.041 b=8.041 c=8.738 alpha=62.61 beta=62.61 gamma=90.00
Fractional coordinates of all 10 atoms:
Cs: 0.750 0.250 0.500
Cs: 0.250 0.750 0.500
Br: 0.297 0.297 0.406
Br: 0.703 0.703 0.594
Br: 0.263 0.263 0.000
Br: 0.737 0.737 0.000
Br: 0.737 0.263 0.000
Br: 0.263 0.737 0.000
Bi: 0.000 0.000 0.000
Zr: 0.500 0.500 0.000

## Properties
raw formation energy = -1.16 eV per atom

***

Computed, not measured: Cu5BiBr12 after structural relaxation at the GGA-PBE level of DFT.

Unit cell a=9.007 b=6.952 c=13.889 alpha=99.95 beta=105.47 gamma=49.62
Fractional coordinates of all 18 atoms:
Cu: 0.500 0.000 0.500
Cu: 0.166 0.667 0.500
Cu: 0.834 0.333 0.500
Cu: 0.666 0.668 0.000
Cu: 0.334 0.332 0.000
Bi: 0.000 0.000 0.000
Br: 0.867 0.000 0.391
Br: 0.133 0.000 0.609
Br: 0.660 0.000 0.951
Br: 0.340 0.000 0.049
Br: 0.172 0.605 0.856
Br: 0.223 0.605 0.144
Br: 0.777 0.395 0.856
Br: 0.828 0.395 0.144
Br: 0.467 0.333 0.608
Br: 0.800 0.667 0.608
Br: 0.200 0.333 0.392
Br: 0.533 0.667 0.392

## Properties
raw formation energy = -0.37 eV per atom